No. 1
# SmBi2Se4

SmBi2Se4 after structural relaxation (PBE, the Alexandria database).

The structure belongs to space group Pnma (No. 62); the cell edges are 11.042, 4.579 and 17.201 Å and the angles 90.00°, 90.00° and 90.00°. The asymmetric unit holds Sm at (0.161, 0.250, 0.173), Bi at (0.028, 0.250, 0.610), Bi at (0.176, 0.750, 0.970), Se at (0.018, 0.750, 0.099), Se at (0.105, 0.250, 0.341), Se at (0.193, 0.250, 0.728) and Se at (0.195, 0.750, 0.528).

The total energy comes out at -127.88 eV per cell. As for the density of states at the Fermi level: 0.174 states/eV per atom. The calculation puts the relative energy among the computed polymorphs at 0.00 kcal/mol of atoms. Its density is 6.8 g cm⁻³.

***

No. 2
# SmBi2Se4

SmBi2Se4 after structural relaxation (PBE, the Alexandria database).

The structure belongs to space group Cmcm (No. 63); the cell edges are 4.394, 13.547 and 13.750 Å and the angles 90.00°, 90.00° and 90.00°. The asymmetric unit holds Sm at (0.000, 0.125, 0.250), Bi at (0.000, 0.374, 0.064), Se at (0.000, 0.000, 0.000), Se at (0.000, 0.275, 0.624) and Se at (0.000, 0.482, 0.250).

The total energy comes out at -127.29 eV per cell. As for the density of states at the Fermi level: 0.253 states/eV per atom. The calculation puts the relative energy among the computed polymorphs at 0.49 kcal/mol of atoms. Its density is 7.2 g cm⁻³.

***

No. 3
# Sm7BiSe5

Sm7BiSe5 after structural relaxation (PBE, the Alexandria database).

The structure belongs to space group Cmcm (No. 63); the cell edges are 4.200, 13.645 and 24.968 Å and the angles 90.00°, 90.00° and 90.00°. The asymmetric unit holds Sm at (0.000, 0.017, 0.250), Sm at (0.000, 0.138, 0.537), Sm at (0.000, 0.316, 0.176), Sm at (0.000, 0.408, 0.614), Bi at (0.000, 0.308, 0.750), Se at (0.000, 0.049, 0.641), Se at (0.000, 0.224, 0.071) and Se at (0.000, 0.500, 0.000).

The total energy comes out at -297.78 eV per cell. As for the density of states at the Fermi level: 0.622 states/eV per atom. Its density is 7.7 g cm⁻³.

***

No. 4
# Sm6BiSe5

Sm6BiSe5 after structural relaxation (PBE, the Alexandria database).

The structure belongs to space group C2/m (No. 12); the cell edges are 7.334, 12.695 and 7.376 Å and the angles 90.00°, 109.41° and 90.00°. The asymmetric unit holds Sm at (0.239, 0.000, 0.258), Sm at (0.239, 0.173, 0.736), Bi at (0.000, 0.500, 0.000), Se at (0.000, 0.000, 0.500), Se at (0.000, 0.168, 0.000) and Se at (0.000, 0.340, 0.500).

The total energy comes out at -138.87 eV per cell. As for the density of states at the Fermi level: 0.460 states/eV per atom. Its density is 7.7 g cm⁻³.

***

No. 5
# SmBiSe3

SmBiSe3 after structural relaxation (PBE, the Alexandria database).

The structure belongs to space group Cmc2_1 (No. 36); the cell edges are 4.212, 21.235 and 7.344 Å and the angles 90.00°, 90.00° and 90.00°. The asymmetric unit holds Sm at (0.000, 0.165, 0.000), Bi at (0.000, 0.349, 0.003), Se at (0.000, 0.085, 0.329), Se at (0.000, 0.251, 0.671) and Se at (0.000, 0.409, 0.340).

The total energy comes out at -98.01 eV per cell. The calculation puts the relative energy among the computed polymorphs at 0.42 kcal/mol of atoms. Its density is 6.0 g cm⁻³.

***

No. 6
# SmBi3Se6

SmBi3Se6 after structural relaxation (PBE, the Alexandria database).

The structure belongs to space group P2_1/m (No. 11); the cell edges are 12.244, 4.161 and 12.320 Å and the angles 90.00°, 107.96° and 90.00°. The asymmetric unit holds Sm at (0.190, 0.250, 0.039), Bi at (0.028, 0.750, 0.299), Bi at (0.337, 0.250, 0.435), Bi at (0.403, 0.750, 0.849), Se at (0.034, 0.750, 0.898), Se at (0.116, 0.250, 0.465), Se at (0.229, 0.750, 0.236), Se at (0.242, 0.250, 0.807), Se at (0.389, 0.750, 0.071) and Se at (0.419, 0.750, 0.596).

The total energy comes out at -89.66 eV per cell. Its density is 7.0 g cm⁻³.